Entry 1:
A plane-wave DFT calculation with PBE-GGA was carried out for an optimized crystal structure of ReTcB4.

a b c (Å): 4.5404 4.5404 4.5404
angles (deg): 141.95 111.33 81.31
Atoms (fractional coordinates):
B 0.5833 0.2502 0.3331
B 0.0830 0.7498 0.3331
B 0.9170 0.2502 0.6669
B 0.4167 0.7498 0.6669
Re 0.0000 0.0000 0.0000
Tc 0.5000 0.5000 0.0000

## Properties
**Energy above the most stable polymorph in this dataset**: 508 meV/atom
**Final energy**: -8.174 eV/atom
**M_tot**: 0.00 μB per cell

Entry 2:
A plane-wave DFT calculation with PBE-GGA was carried out for an optimized crystal structure of TmAs2.

a b c (Å): 8.8438 8.8438 8.8438
angles (deg): 60.00 60.00 60.00
Atoms (fractional coordinates):
As 0.3750 0.3750 0.3750
As 0.8750 0.3750 0.3750
As 0.3750 0.8750 0.3750
As 0.3750 0.3750 0.8750
Tm 0.2500 0.2500 0.2500
Tm 0.5000 0.5000 0.5000

## Properties
**Final energy**: -4.018 eV/atom
**M_tot**: 0.01 μB per cell

Entry 3:
A plane-wave DFT calculation with PBE-GGA was carried out for an optimized crystal structure of NdNpTe6.

a b c (Å): 4.3642 4.4359 13.2744
angles (deg): 90.00 99.33 90.00
Last column: magnetic moment on the atom in μB.
Atoms (fractional coordinates):
Nd 0.0906 0.5000 0.3389  0.00
Np 0.7526 0.0000 0.6636  -0.26
Te 0.4946 0.5000 0.1484  0.00
Te 0.9947 0.0000 0.1486  0.00
Te 0.6305 0.0000 0.4179  0.01
Te 0.2194 0.5000 0.5964  0.02
Te 0.8422 0.5000 0.8429  0.00
Te 0.3425 0.0000 0.8434  -0.01

## Properties
**Final energy**: -5.183 eV/atom
**M_tot**: 0.06 μB per cell

Entry 4:
A plane-wave DFT calculation with PBE-GGA was carried out for an optimized crystal structure of HoTmNi4.

a b c (Å): 5.3276 5.3276 8.0015
angles (deg): 90.00 90.00 120.00
Atoms (fractional coordinates):
Ho 0.0000 0.0000 0.0000
Ho 0.0000 0.0000 0.5000
Ni 0.6667 0.3333 0.0000
Ni 0.3333 0.6667 0.0000
Ni 0.5000 0.0000 0.2305
Ni 0.0000 0.5000 0.2305
Ni 0.5000 0.5000 0.2305
Ni 0.5000 0.0000 0.7695
Ni 0.0000 0.5000 0.7695
Ni 0.5000 0.5000 0.7695
Tm 0.6667 0.3333 0.5000
Tm 0.3333 0.6667 0.5000

## Properties
**Energy above the most stable polymorph in this dataset**: 412 meV/atom
**Energy relative to the elements**: -68 meV per atom
**Final energy**: -5.289 eV/atom
**M_tot**: 0.01 μB per cell

Entry 5:
A plane-wave DFT calculation with PBE-GGA was carried out for an optimized crystal structure of ZnTeNO.

a b c (Å): 5.5560 8.0211 5.6099
angles (deg): 90.00 90.00 90.00
Atoms (fractional coordinates):
N 0.3936 0.1107 0.1144
N 0.8936 0.8893 0.1144
N 0.1064 0.1107 0.6144
N 0.6064 0.8893 0.6144
O 0.8592 0.2907 0.0657
O 0.3592 0.7093 0.0657
O 0.6408 0.2907 0.5657
O 0.1408 0.7093 0.5657
Te 0.5201 0.3357 0.0489
Te 0.0201 0.6643 0.0489
Te 0.9799 0.3357 0.5489
Te 0.4799 0.6643 0.5489
Zn 0.4348 0.0830 0.4734
Zn 0.9348 0.9170 0.4734
Zn 0.0652 0.0830 0.9734
Zn 0.5652 0.9170 0.9734

## Properties
**Energy above the most stable polymorph in this dataset**: 0 meV/atom
**Final energy**: -4.585 eV/atom

Entry 6:
A plane-wave DFT calculation with PBE-GGA was carried out for an optimized crystal structure of BaLiTeIr.

a b c (Å): 5.0390 5.0390 5.0390
angles (deg): 60.00 60.00 60.00
Atoms (fractional coordinates):
Ba 0.0000 0.0000 0.0000
Ir 0.2500 0.2500 0.2500
Li 0.7500 0.7500 0.7500
Te 0.5000 0.5000 0.5000

## Properties
**Energy above the most stable polymorph in this dataset**: 0 meV/atom
**Final energy**: -4.151 eV/atom
**M_tot**: 0.00 μB per cell

Entry 7:
A plane-wave DFT calculation with PBE-GGA was carried out for an optimized crystal structure of Ta4Al3Mo2N3.

a b c (Å): 5.1260 5.1260 14.6366
angles (deg): 100.10 100.10 59.91
Atoms (fractional coordinates):
Al 0.2710 0.4139 0.2493
Al 0.9003 0.0997 0.2500
Al 0.5861 0.7290 0.2507
Al 0.4139 0.2710 0.7493
Al 0.0997 0.9003 0.7500
Al 0.7290 0.5861 0.7507
Mo 0.5335 0.3678 0.0962
Mo 0.6322 0.4665 0.4038
Mo 0.3678 0.5335 0.5962
Mo 0.4665 0.6322 0.9038
N 0.5000 0.0000 0.0000
N 0.8435 0.3287 0.0000
N 0.1565 0.6713 0.0000
N 0.3287 0.8435 0.5000
N 0.0000 0.5000 0.5000
N 0.6713 0.1565 0.5000
Ta 0.2023 0.0281 0.0950
Ta 0.8629 0.6981 0.0951
Ta 0.3019 0.1371 0.4049
Ta 0.9719 0.7977 0.4050
Ta 0.0281 0.2023 0.5950
Ta 0.6981 0.8629 0.5951
Ta 0.1371 0.3019 0.9049
Ta 0.7977 0.9719 0.9050

## Properties
**Final energy**: -9.306 eV/atom
**M_tot**: 0.00 μB per cell

Entry 8:
A plane-wave DFT calculation with PBE-GGA was carried out for an optimized crystal structure of AgSe2Br6.

a b c (Å): 4.7418 7.3211 9.1686
angles (deg): 103.52 95.65 91.40
Atoms (fractional coordinates):
Ag 0.0000 0.5000 0.5000
Br 0.7327 0.3081 0.0434
Br 0.9167 0.9957 0.2883
Br 0.3490 0.6357 0.3474
Br 0.6510 0.3643 0.6526
Br 0.0833 0.0043 0.7117
Br 0.2673 0.6919 0.9566
Se 0.6581 0.2697 0.2842
Se 0.3419 0.7303 0.7158

## Properties
**Final energy**: -2.335 eV/atom